Record 1
DFT (PBE) results for a geometry-optimized NdHfTa structure.

Values from the calculation:
The calculation puts the calculated formation energy at 1.12 eV per atom. The calculation puts the calculated density at 10.42 g/cm³. The calculation puts the energy above the lowest structure with this stoichiometry at 0.000 eV per atom.

CIF file:
```
data_NdHfTa
_symmetry_space_group_name_H-M 'F -4 3 m'
_symmetry_Int_Tables_number 216
_symmetry_space_group_name_Hall 'F -4 2 3'
_cell_length_a 6.848
_cell_length_b 6.848
_cell_length_c 6.848
_cell_angle_alpha 90.00
_cell_angle_beta 90.00
_cell_angle_gamma 90.00
loop_
_atom_site_label
_atom_site_type_symbol
_atom_site_fract_x
_atom_site_fract_y
_atom_site_fract_z
Nd1 Nd 0.000 0.000 0.000
Hf1 Hf 0.250 0.250 0.250
Ta1 Ta 0.000 0.000 0.500
```

Record 2
DFT (PBE) results for a geometry-optimized RbZrCu structure.

Values from the calculation:
The calculation puts the calculated density at 4.36 g/cm³. The calculation puts the energy above the lowest structure with this stoichiometry at 0.000 eV per atom.

CIF file:
```
data_RbZrCu
_symmetry_space_group_name_H-M 'F -4 3 m'
_symmetry_Int_Tables_number 216
_symmetry_space_group_name_Hall 'F -4 2 3'
_cell_length_a 7.156
_cell_length_b 7.156
_cell_length_c 7.156
_cell_angle_alpha 90.00
_cell_angle_beta 90.00
_cell_angle_gamma 90.00
loop_
_atom_site_label
_atom_site_type_symbol
_atom_site_fract_x
_atom_site_fract_y
_atom_site_fract_z
Rb1 Rb 0.000 0.000 0.000
Zr1 Zr 0.000 0.000 0.500
Cu1 Cu 0.250 0.250 0.250
```

Record 3
DFT (PBE) results for a geometry-optimized Sm3Tm3Te2Pt structure.

Values from the calculation:
The calculation puts the calculated density at 9.46 g/cm³. The calculation puts the energy above the lowest structure with this stoichiometry at 0.125 eV per atom.

CIF file:
```
data_Sm3Tm3Te2Pt
_symmetry_space_group_name_H-M 'P -6 2 m'
_symmetry_Int_Tables_number 189
_symmetry_space_group_name_Hall 'P -6 -2'
_cell_length_a 8.5288
_cell_length_b 8.5288
_cell_length_c 3.9242
_cell_angle_alpha 90.00
_cell_angle_beta 90.00
_cell_angle_gamma 120.00
loop_
_atom_site_label
_atom_site_type_symbol
_atom_site_fract_x
_atom_site_fract_y
_atom_site_fract_z
Sm1 Sm 0.0000 0.2507 0.0000
Tm1 Tm 0.0000 0.5993 0.5000
Te1 Te 0.3333 0.6667 0.0000
Pt1 Pt 0.0000 0.0000 0.5000
```

Record 4
DFT (PBE) results for a geometry-optimized Cu2Ag structure.

Values from the calculation:
The calculation puts the calculated formation energy at 0.09 eV per atom. The calculation puts the calculated density at 9.35 g/cm³. The calculation puts the energy above the lowest structure with this stoichiometry at 0.044 eV per atom.

CIF file:
```
data_Cu2Ag
_symmetry_space_group_name_H-M 'C m m m'
_symmetry_Int_Tables_number 65
_symmetry_space_group_name_Hall '-C 2 2'
_cell_length_a 3.822
_cell_length_b 11.498
_cell_length_c 3.797
_cell_angle_alpha 90.00
_cell_angle_beta 90.00
_cell_angle_gamma 90.00
loop_
_atom_site_label
_atom_site_type_symbol
_atom_site_fract_x
_atom_site_fract_y
_atom_site_fract_z
Cu1 Cu 0.000 0.000 0.000
Cu2 Cu 0.000 0.160 0.500
Cu3 Cu 0.000 0.500 0.500
Ag1 Ag 0.000 0.338 0.000
```

Record 5
DFT (PBE) results for a geometry-optimized GdDyW2C3 structure.

Values from the calculation:
The calculation puts the calculated density at 11.45 g/cm³. Its uncorrected energy is -9.30 eV/atom.

CIF file:
```
data_GdDyW2C3
_symmetry_space_group_name_H-M 'C 1 m 1'
_symmetry_Int_Tables_number 8
_cell_length_a 11.898
_cell_length_b 3.334
_cell_length_c 5.745
_cell_angle_alpha 90.00
_cell_angle_beta 112.99
_cell_angle_gamma 90.00
loop_
_symmetry_equiv_pos_as_xyz
'x,y,z'
'x,-y,z'
'x+1/2,y+1/2,z'
'x+1/2,-y+1/2,z'
loop_
_atom_site_label
_atom_site_type_symbol
_atom_site_fract_x
_atom_site_fract_y
_atom_site_fract_z
Gd1 Gd 0.000 0.000 0.000
Dy1 Dy 0.219 0.000 0.638
W1 W 0.265 0.500 0.143
W2 W 0.453 0.000 0.492
C1 C 0.110 0.500 0.816
C2 C 0.358 0.000 0.083
C3 C 0.358 0.500 0.550
```

Record 6
DFT (PBE) results for a geometry-optimized YFe2GeP structure.

Values from the calculation:
The calculation puts the calculated density at 6.74 g/cm³. Its uncorrected energy is -7.38 eV/atom.

CIF file:
```
data_YFe2GeP
_symmetry_space_group_name_H-M 'I 4 m m'
_symmetry_Int_Tables_number 107
_symmetry_space_group_name_Hall 'I 4 -2'
_cell_length_a 3.933
_cell_length_b 3.933
_cell_length_c 9.697
_cell_angle_alpha 90.00
_cell_angle_beta 90.00
_cell_angle_gamma 90.00
loop_
_atom_site_label
_atom_site_type_symbol
_atom_site_fract_x
_atom_site_fract_y
_atom_site_fract_z
Y1 Y 0.000 0.000 0.000
Fe1 Fe 0.000 0.500 0.260
Ge1 Ge 0.000 0.000 0.629
P1 P 0.000 0.000 0.362
```

Record 7
DFT (PBE) results for a geometry-optimized Hf4B3P structure.

Values from the calculation:
The calculation puts the calculated density at 10.68 g/cm³. Its uncorrected energy is -8.84 eV/atom.

CIF file:
```
data_Hf4B3P
_symmetry_space_group_name_H-M 'P 63/m m c'
_symmetry_Int_Tables_number 194
_symmetry_space_group_name_Hall '-P 6c 2c'
_cell_length_a 3.4322
_cell_length_b 3.4322
_cell_length_c 23.6869
_cell_angle_alpha 90.00
_cell_angle_beta 90.00
_cell_angle_gamma 120.00
loop_
_atom_site_label
_atom_site_type_symbol
_atom_site_fract_x
_atom_site_fract_y
_atom_site_fract_z
Hf1 Hf 0.0000 0.0000 0.1758
Hf2 Hf 0.3333 0.6667 0.0593
B1 B 0.0000 0.0000 0.0000
B2 B 0.3333 0.6667 0.6202
P1 P 0.3333 0.6667 0.2500
```

Record 8
DFT (PBE) results for a geometry-optimized HoTmSn structure.

Values from the calculation:
The calculation puts the calculated density at 8.08 g/cm³. The calculation puts the energy above the lowest structure with this stoichiometry at 0.000 eV per atom.

CIF file:
```
data_HoTmSn
_symmetry_space_group_name_H-M 'F -4 3 m'
_symmetry_Int_Tables_number 216
_symmetry_space_group_name_Hall 'F -4 2 3'
_cell_length_a 7.194
_cell_length_b 7.194
_cell_length_c 7.194
_cell_angle_alpha 90.00
_cell_angle_beta 90.00
_cell_angle_gamma 90.00
loop_
_atom_site_label
_atom_site_type_symbol
_atom_site_fract_x
_atom_site_fract_y
_atom_site_fract_z
Ho1 Ho 0.000 0.000 0.000
Tm1 Tm 0.000 0.000 0.500
Sn1 Sn 0.250 0.250 0.250
```

Copy entry 6 word for word.
DFT (PBE) results for a geometry-optimized YFe2GeP structure.

Values from the calculation:
The calculation puts the calculated density at 6.74 g/cm³. Its uncorrected energy is -7.38 eV/atom.

CIF file:
```
data_YFe2GeP
_symmetry_space_group_name_H-M 'I 4 m m'
_symmetry_Int_Tables_number 107
_symmetry_space_group_name_Hall 'I 4 -2'
_cell_length_a 3.933
_cell_length_b 3.933
_cell_length_c 9.697
_cell_angle_alpha 90.00
_cell_angle_beta 90.00
_cell_angle_gamma 90.00
loop_
_atom_site_label
_atom_site_type_symbol
_atom_site_fract_x
_atom_site_fract_y
_atom_site_fract_z
Y1 Y 0.000 0.000 0.000
Fe1 Fe 0.000 0.500 0.260
Ge1 Ge 0.000 0.000 0.629
P1 P 0.000 0.000 0.362
```